A plane-wave DFT calculation with GGA-PBE was carried out for a relaxed K2HfF6 crystal.

Values from the calculation:
V: 315.66 Å³ per cell
SG: P4_2/mnm
VASP energy: -108.9 eV for the cell shown

Cell lengths 5.362, 5.362, 10.979 Å; angles 90.00, 90.00, 90.00 degrees
Positions (direct):
F: 0.264 0.264 0.000
F: 0.736 0.736 0.000
F: 0.821 0.179 0.134
F: 0.179 0.821 0.134
F: 0.321 0.321 0.366
F: 0.679 0.679 0.366
F: 0.764 0.236 0.500
F: 0.236 0.764 0.500
F: 0.321 0.321 0.634
F: 0.679 0.679 0.634
F: 0.821 0.179 0.866
F: 0.179 0.821 0.866
Hf: 0.000 0.000 0.000
Hf: 0.500 0.500 0.500
K: 0.500 0.500 0.166
K: 0.000 0.000 0.334
K: 0.000 0.000 0.666
K: 0.500 0.500 0.834